Entry from the Alexandria database: a relaxed Rb2AcMoO6 crystal (PBE+U).

a = 6.2858 Å, b = 6.2858 Å, c = 6.2853 Å
α = 60.00°, β = 60.00°, γ = 60.00°
Each line ends with the local moment (μB).
Element x y z (fractional)
Rb 0.5661 0.5660 0.3018  0.00
Rb 0.0661 0.0661 0.8018  0.00
O 0.0955 0.5359 0.2710  0.17
O 0.0977 0.0955 0.2710  0.17
O 0.5351 0.5364 0.8318  0.17
O 0.0967 0.5351 0.8318  0.17
O 0.5358 0.0978 0.2710  0.17
O 0.5364 0.0966 0.8318  0.17
Ac 0.8161 0.8161 0.5516  -0.01
Mo 0.3161 0.3161 0.0517  -0.14

Values from the calculation:
- Symmetry: R-3 (148)
- Electronic total energy: -6.279 eV/atom
- DOS(E_F): 6.79 states/eV/cell